First-principles (PBE) data for a relaxed structure of KSb2Pb, as listed in the Alexandria database.

Cell: 3.423 5.285 7.148 Å, 90.00 90.00 90.00°
Atoms (fractional coordinates):
K  0.500  0.500  0.250
Pb  0.500  0.500  0.750
Sb  0.000  0.000  0.961
Sb  0.000  0.000  0.539

Calculated values
Its space group is Pmmm (47). The value obtained for the formation energy without anion corrections is -118 meV/atom. Its size of the total moment is 0.000 μB/atom. The electronic total energy comes out at -3.381 eV per atom.